Entry 1:
Entry from Alexandria: crystalline LiBi3Pd8 at its relaxed geometry (PBE-GGA).

abc: 7.0152 7.0152 7.0152
angles: 88.67 120.77 120.77
With the nearest neighbours (Å) after each atom.
Sites, in units of the cell vectors:
Pd: 0.0000 0.6652 0.9427  1 Li 2.39
Li: 0.0000 0.0000 0.0000  8 Pd 2.35-2.39
Pd: 0.0000 0.8372 0.2973  1 Li 2.35
Pd: 0.0000 0.9427 0.6652  1 Li 2.39
Bi: 0.5000 0.7500 0.2500  4 Pd 2.74
Pd: 0.7225 0.0573 0.0573  1 Li 2.39
Pd: 0.5398 0.7027 0.7027  1 Li 2.35
Pd: 0.2775 0.3348 0.3348  1 Li 2.39
Bi: 0.0000 0.5000 0.5000  4 Pd 2.73
Pd: 0.4602 0.1628 0.1628  1 Li 2.35
Pd: 0.0000 0.2973 0.8372  1 Li 2.35
Bi: 0.5000 0.2500 0.7500  4 Pd 2.74

Calculated values
DFT formation energy: -1.7 kJ/mol of atoms
mass density: 10.23 g/cm3
calculated total energy: -4.610 eV per atom
M_tot: 0.000 μB/atom

Entry 2:
Entry from Alexandria: crystalline Ca2ZrTe at its relaxed geometry (PBE-GGA).

abc: 5.1760 5.1760 4.3328
angles: 90.00 90.00 90.00
With the nearest neighbours (Å) after each atom.
Sites, in units of the cell vectors:
Te: 0.5000 0.0000 0.5000  8 Ca 3.38, 4 Zr 3.66
Ca: 0.0000 0.0000 0.0000  4 Zr 3.38, 4 Te 3.38, 4 Ca 3.66
Zr: 0.0000 0.5000 0.5000  8 Ca 3.38, 4 Te 3.66
Ca: 0.5000 0.5000 0.0000  4 Zr 3.38, 4 Te 3.38, 4 Ca 3.66

Calculated values
formation energy from raw total energies: -0.68 eV per formula unit
mass density: 4.28 g/cm3
calculated total energy: -4.093 eV per atom
M_tot: 0.822 μB/atom

Entry 3:
Entry from Alexandria: crystalline YMoRh2 at its relaxed geometry (PBE-GGA).

abc: 3.3306 3.3306 6.4968
angles: 90.00 90.00 90.00
With the nearest neighbours (Å) after each atom.
Sites, in units of the cell vectors:
Rh: 0.5000 0.5000 0.2290  1 Mo 2.71, 4 Rh 2.86, 4 Y 2.87
Y: 0.0000 0.0000 0.4802  4 Rh 2.87, 4 Mo 3.19
Rh: 0.0000 0.0000 0.9790  4 Mo 2.59, 4 Rh 2.86
Mo: 0.5000 0.5000 0.8117  5 Rh 2.59-2.71

Calculated values
DFT formation energy: -7.2 kJ/mol of atoms
mass density: 9.00 g/cm3
calculated total energy: -8.074 eV per atom
M_tot: 0.000 μB/atom

What is the formula in the second record? Ca2ZrTe

Which value of M_tot does entry 2 give? 0.822 μB/atom